ZrPtSe2Br after structural relaxation. Source: Alexandria via LeMat-Bulk, functional PBEsol.

Magnetization (μB/f.u.): 0.30
Formation energy from raw total energies (eV per formula unit): 1.17
DFT total energy (eV for the cell shown): -24.5

a b c (Å): 5.0311 5.1297 5.1297
angles (deg): 90.00 90.00 90.00
Last column: nearest neighbours and their distance in Å.
Fractional positions:
1 Br 0.5000 0.0000 0.0000  2 Zr 2.52
2 Zr 0.0000 0.0000 0.0000  2 Br 2.52, 4 Se 2.56
3 Pt 0.5000 0.5000 0.5000  8 Se 3.59, 4 Br 3.63
4 Se 0.0000 0.0000 0.5000  2 Zr 2.56
5 Se 0.0000 0.5000 0.0000  2 Zr 2.56